A plane-wave DFT calculation with PBE with a Hubbard U was carried out for a geometry-optimized Ba2MnBiO5 structure.

POSCAR file:
```
Ba2MnBiO5
1.0
1.8891 -7.6539 0.0000
1.8891 7.6539 0.0000
0.0000 0.0000 11.1272
Ba Mn Bi O
4 2 2 10
Cartesian
1.8891 6.0979 5.5636
1.8891 5.4403 1.4347
1.8891 -5.4403 6.9983
1.8891 -6.0979 0.0000
1.8891 4.0634 9.5707
1.8891 -4.0634 4.0071
1.8891 0.9371 3.0920
1.8891 -0.9371 8.6556
1.8891 6.0088 9.6978
1.8891 3.5796 4.7551
1.8891 2.6614 1.8416
1.8891 2.2607 9.0821
1.8891 0.1882 6.7084
1.8891 -0.1882 1.1448
1.8891 -2.2607 3.5185
1.8891 -2.6614 7.4052
1.8891 -3.5796 10.3187
1.8891 -6.0088 4.1342
```

Results
M_tot	3.99	μB/f.u.
space-group type	Cmc2_1 (36)
final energy	-6.31	eV per atom